[1]
KInSi: optimized geometry, GGA-PBE.

```
KInSi
1.0
4.903 0.000 0.000
-2.451 4.246 0.000
0.000 0.000 7.663
K In Si
2 2 2
Direct
0.000 0.000 0.000
0.000 0.000 0.500
0.667 0.333 0.217
0.667 0.333 0.783
0.333 0.667 0.327
0.333 0.667 0.673
```

Computed properties:
Uncorrected formation energy: 0.35 eV per formula unit
D(E_F): 0.1 states/eV/f.u.

***

[2]
KInSi: optimized geometry, GGA-PBE.

```
KInSi
1.0
3.443 -4.402 0.000
3.443 4.402 0.000
0.000 0.000 6.690
K In Si
2 2 2
Direct
0.124 0.876 0.750
0.876 0.124 0.250
0.500 0.500 0.000
0.500 0.500 0.500
0.281 0.719 0.250
0.719 0.281 0.750
```

Computed properties:
Uncorrected formation energy: 0.64 eV per formula unit
D(E_F): 0.6 states/eV/f.u.

***

[3]
KInSi: optimized geometry, GGA-PBE.

```
KInSi
1.0
6.301 0.000 0.000
0.000 3.742 0.000
-1.132 0.000 7.900
K In Si
2 2 2
Direct
0.000 0.000 0.000
0.464 0.000 0.712
0.170 0.500 0.378
0.589 0.500 0.224
0.842 0.000 0.443
0.925 0.500 0.635
```

Computed properties:
Uncorrected formation energy: 0.17 eV per formula unit
D(E_F): 0.2 states/eV/f.u.

***

Question: Which of these has the highest D(E_F)?
Answer: number 2

***

Question: Which of these has the lowest D(E_F)?
Answer: number 1